Compound: ZrTaB
Source: OQMD via LeMat-Bulk
Functional: PBE
Structure: optimized geometry

Output
Calculated volume, Å³/atom: 18.4
Crystal system: cubic

Cell: 4.273 4.273 4.273 Å, 60.00 60.00 60.00°
Atoms (fractional coordinates):
B (0.250, 0.250, 0.250)
Ta (0.000, 0.000, 0.000)
Zr (0.750, 0.750, 0.750)

***

Compound: TbB4
Source: OQMD via LeMat-Bulk
Functional: PBE
Structure: optimized geometry

Output
Calculated volume, Å³/atom: 10.2
Crystal system: tetragonal

Cell: 7.107 7.107 4.025 Å, 90.00 90.00 90.00°
Atoms (fractional coordinates):
Tb (0.818, 0.682, 0.000)
Tb (0.682, 0.182, 0.000)
Tb (0.318, 0.818, 0.000)
Tb (0.182, 0.318, 0.000)
B (0.961, 0.176, 0.500)
B (0.000, 0.000, 0.797)
B (0.413, 0.087, 0.500)
B (0.913, 0.413, 0.500)
B (0.461, 0.324, 0.500)
B (0.500, 0.500, 0.797)
B (0.039, 0.824, 0.500)
B (0.324, 0.539, 0.500)
B (0.500, 0.500, 0.203)
B (0.587, 0.913, 0.500)
B (0.087, 0.587, 0.500)
B (0.539, 0.676, 0.500)
B (0.676, 0.461, 0.500)
B (0.000, 0.000, 0.203)
B (0.176, 0.039, 0.500)
B (0.824, 0.961, 0.500)

***

Compound: TbB4
Source: OQMD via LeMat-Bulk
Functional: PBE
Structure: optimized geometry

Output
Calculated volume, Å³/atom: 15.1
Crystal system: tetragonal

Cell: 8.489 8.489 4.194 Å, 90.00 90.00 90.00°
Last column: magnetic moment on the atom in μB.
Atoms (fractional coordinates):
Tb (0.139, 0.361, 0.000)  -0.01
Tb (0.639, 0.139, 0.000)  -0.01
Tb (0.861, 0.639, 0.000)  -0.01
Tb (0.361, 0.861, 0.000)  -0.01
B (0.000, 0.000, 0.308)  0.00
B (0.065, 0.565, 0.500)  0.05
B (0.000, 0.000, 0.692)  0.00
B (0.444, 0.372, 0.000)  0.00
B (0.565, 0.935, 0.500)  0.06
B (0.935, 0.435, 0.500)  0.05
B (0.556, 0.628, 0.000)  0.00
B (0.944, 0.128, 0.000)  0.00
B (0.435, 0.065, 0.500)  0.06
B (0.372, 0.556, 0.000)  0.00
B (0.628, 0.444, 0.000)  0.00
B (0.500, 0.500, 0.308)  0.00
B (0.500, 0.500, 0.692)  0.00
B (0.872, 0.944, 0.000)  0.00
B (0.056, 0.872, 0.000)  0.00
B (0.128, 0.056, 0.000)  0.00

***

Compound: TbTc2B2
Source: OQMD via LeMat-Bulk
Functional: PBE
Structure: optimized geometry

Output
Calculated volume, Å³/atom: 13.4
Crystal system: tetragonal

Cell: 5.558 5.558 5.558 Å, 141.22 141.22 56.01°
Atoms (fractional coordinates):
B (0.400, 0.400, 0.000)
B (0.600, 0.600, 0.000)
Tc (0.250, 0.750, 0.500)
Tc (0.750, 0.250, 0.500)
Tb (0.000, 0.000, 0.000)

***

Compound: TbB2Te2
Source: OQMD via LeMat-Bulk
Functional: PBE
Structure: optimized geometry

Output
Calculated volume, Å³/atom: 20.8
Crystal system: tetragonal

Cell: 6.958 6.958 6.958 Å, 146.14 146.14 48.64°
Atoms (fractional coordinates):
B (0.750, 0.250, 0.500)
B (0.250, 0.750, 0.500)
Tb (0.000, 0.000, 0.000)
Te (0.362, 0.362, 0.000)
Te (0.638, 0.638, 0.000)

***

Compound: Tb5BTe4
Source: OQMD via LeMat-Bulk
Functional: PBE
Structure: optimized geometry

Output
Calculated volume, Å³/atom: 27.9
Crystal system: tetragonal

Cell: 7.433 7.433 7.433 Å, 99.57 99.57 131.87°
Atoms (fractional coordinates):
Te (0.586, 0.190, 0.778)
Te (0.411, 0.807, 0.222)
Te (0.190, 0.411, 0.604)
Te (0.807, 0.586, 0.396)
Tb (0.744, 0.906, 0.655)
Tb (0.906, 0.251, 0.161)
Tb (0.251, 0.090, 0.345)
Tb (0.529, 0.529, 0.000)
Tb (0.090, 0.744, 0.839)
B (0.976, 0.976, 0.000)

***

Calculated values (eV per atom) of E for the records, taken in order: -7.475 -6.870 -5.729 -8.047 -3.979 -5.384.